Density functional theory data (PBE) for crystalline SrTeSN2 at its relaxed geometry.

Values from the calculation:
formation energy (no corrections) = 0.29 eV/atom
energy = -4.826 eV per atom

Unit cell a=4.1400 b=4.1400 c=5.3018 alpha=90.00 beta=90.00 gamma=90.00
With the nearest neighbours (Å) after each atom.
Positions (direct):
Te 0.0000 0.0000 0.0000  4 N 2.07
Sr 0.5000 0.5000 0.5000  4 S 2.93
S 0.0000 0.0000 0.5000  2 Te 2.65, 4 Sr 2.93
N 0.0000 0.5000 0.0000  2 Te 2.07
N 0.5000 0.0000 0.0000  2 Te 2.07

***

Density functional theory data (PBE) for crystalline SrTeSN2 at its relaxed geometry.

Values from the calculation:
formation energy (no corrections) = 1.09 eV/atom
energy = -4.028 eV per atom

Unit cell a=4.4160 b=4.4160 c=5.0445 alpha=90.00 beta=90.00 gamma=90.00
With the nearest neighbours (Å) after each atom.
Positions (direct):
Te 0.0000 0.0000 0.5000  2 S 2.52
N 0.5000 0.0000 0.0000  2 S 2.21
N 0.0000 0.5000 0.0000  2 S 2.21
Sr 0.5000 0.5000 0.5000  4 Te 3.12, 8 N 3.35
S 0.0000 0.0000 0.0000  4 N 2.21